1.
Here is a relaxed structure of Y3In2SnPdPt2 from OQMD via LeMat-Bulk. Energies are from PBE.

abc: 3.831 7.710 7.710
angles: 119.88 90.00 90.00
Fractional coordinates of all 9 atoms:
In: 0.500 0.262 0.001
In: 0.500 0.001 0.262
Pt: 0.500 0.667 0.335
Pt: 0.500 0.335 0.667
Pd: 0.000 0.996 0.996
Y: 0.000 0.001 0.592
Y: 0.000 0.407 0.407
Y: 0.000 0.592 0.001
Sn: 0.500 0.740 0.740

Values from the calculation:
The crystal system is orthorhombic.

=====

2.
Here is a relaxed structure of Sr2In4PdPt from OQMD via LeMat-Bulk. Energies are from PBE.

abc: 8.009 5.963 5.963
angles: 44.79 90.00 90.00
Fractional coordinates of all 8 atoms:
Pd: 0.000 0.219 0.219
In: 0.804 0.651 0.651
In: 0.196 0.651 0.651
In: 0.696 0.349 0.349
In: 0.304 0.349 0.349
Pt: 0.500 0.781 0.781
Sr: 0.500 0.062 0.062
Sr: 0.000 0.938 0.938

Values from the calculation:
The crystal system is orthorhombic.

=====

3.
Here is a relaxed structure of Tb2In2Pd3Pt from OQMD via LeMat-Bulk. Energies are from PBE.

abc: 4.603 4.603 8.976
angles: 90.00 90.00 120.00
Fractional coordinates of all 8 atoms:
In: 0.333 0.667 0.999
In: 0.333 0.667 0.499
Tb: 0.667 0.333 0.754
Tb: 0.000 0.000 0.248
Pt: 0.000 0.000 0.910
Pd: 0.000 0.000 0.585
Pd: 0.667 0.333 0.091
Pd: 0.667 0.333 0.414

Values from the calculation:
The crystal system is trigonal.

=====

4.
Here is a relaxed structure of TbY2In3PdPt2 from OQMD via LeMat-Bulk. Energies are from PBE.

abc: 3.839 7.725 7.725
angles: 119.96 90.00 90.00
Fractional coordinates of all 9 atoms:
Y: 0.000 0.410 0.000
Y: 0.000 0.000 0.410
In: 0.500 0.257 0.257
In: 0.500 0.001 0.741
In: 0.500 0.741 0.001
Pd: 0.000 0.999 0.999
Pt: 0.500 0.335 0.666
Pt: 0.500 0.666 0.335
Tb: 0.000 0.590 0.590

Values from the calculation:
The crystal system is orthorhombic.

=====

5.
Here is a relaxed structure of In2Te6PdPt3 from OQMD via LeMat-Bulk. Energies are from PBE.

abc: 8.085 8.085 5.443
angles: 90.00 90.00 120.00
Fractional coordinates of all 12 atoms:
Pt: 0.500 0.500 0.500
Pt: 0.500 0.000 0.500
Pt: 0.000 0.500 0.500
Pd: 0.000 0.000 0.500
In: 0.667 0.333 0.197
In: 0.333 0.667 0.803
Te: 0.828 0.657 0.749
Te: 0.343 0.172 0.749
Te: 0.172 0.828 0.251
Te: 0.657 0.828 0.251
Te: 0.172 0.343 0.251
Te: 0.828 0.172 0.749

Values from the calculation:
The crystal system is trigonal.

=====

6.
Here is a relaxed structure of Tm3In3PdPt from OQMD via LeMat-Bulk. Energies are from PBE.

abc: 7.654 7.654 3.606
angles: 90.00 90.00 120.00
Fractional coordinates of all 8 atoms:
In: 0.568 0.671 0.000
In: 0.103 0.432 0.000
In: 0.329 0.897 0.000
Pt: 0.667 0.333 0.000
Pd: 0.000 0.000 0.000
Tm: 0.750 0.089 0.500
Tm: 0.911 0.660 0.500
Tm: 0.340 0.250 0.500

Values from the calculation:
The crystal system is hexagonal.

=====

7.
Here is a relaxed structure of Y2In2Pd3Pt from OQMD via LeMat-Bulk. Energies are from PBE.

abc: 4.602 4.602 8.970
angles: 90.00 90.00 120.00
Fractional coordinates of all 8 atoms:
Pd: 0.667 0.333 0.911
Pd: 0.667 0.333 0.586
Pd: 0.333 0.667 0.415
Y: 0.667 0.333 0.246
Y: 0.333 0.667 0.752
Pt: 0.333 0.667 0.089
In: 0.000 0.000 0.001
In: 0.000 0.000 0.501

Values from the calculation:
The crystal system is trigonal.

=====

8.
Here is a relaxed structure of Y3In3Pd2Pt from OQMD via LeMat-Bulk. Energies are from PBE.

abc: 7.690 7.690 3.885
angles: 90.00 90.00 120.00
Fractional coordinates of all 9 atoms:
Pt: 0.000 0.000 0.500
Y: 0.594 0.594 0.500
Y: 0.406 0.000 0.500
Y: 0.000 0.406 0.500
Pd: 0.667 0.333 0.000
Pd: 0.333 0.667 0.000
In: 0.261 0.261 0.000
In: 0.739 0.000 0.000
In: 0.000 0.739 0.000

Values from the calculation:
The crystal system is hexagonal.

=====

Computed total DFT energy (no corrections), in the same sequence as the records: -6.13, -3.83, -5.41, -5.74, -4.40, -4.92, -5.86, -5.76 eV/atom.